TcNiP | PBE | relaxed

Geometry as CIF:
```
data_TcNiP
_chemical_formula_sum 'Tc4 Ni4 P4'
_symmetry_space_group_name_H-M 'F -4 3 m'
_symmetry_Int_Tables_number 216
_symmetry_space_group_name_Hall 'F -4 2 3'
_cell_length_a 5.613
_cell_length_b 5.613
_cell_length_c 5.613
_cell_angle_alpha 90.00
_cell_angle_beta 90.00
_cell_angle_gamma 90.00
loop_
_atom_site_label
_atom_site_fract_x
_atom_site_fract_y
_atom_site_fract_z
_atom_site_occupancy
Tc1 0.000 0.000 0.000 1
Ni1 0.250 0.250 0.250 1
P1 0.250 0.250 0.750 1
```

Its energy above the lowest structure with this stoichiometry is 1.580 eV/f.u. Its calculated formation energy is 25 meV per atom.



Tl3SbI | PBE | relaxed

Geometry as CIF:
```
data_Tl3SbI
_chemical_formula_sum 'Tl3 Sb1 I1'
_symmetry_space_group_name_H-M 'P m -3 m'
_symmetry_Int_Tables_number 221
_symmetry_space_group_name_Hall '-P 4 2 3'
_cell_length_a 6.171
_cell_length_b 6.171
_cell_length_c 6.171
_cell_angle_alpha 90.00
_cell_angle_beta 90.00
_cell_angle_gamma 90.00
loop_
_atom_site_label
_atom_site_fract_x
_atom_site_fract_y
_atom_site_fract_z
_atom_site_occupancy
Tl1 0.000 0.000 0.500 1
Sb1 0.000 0.000 0.000 1
I1 0.500 0.500 0.500 1
```

Its energy above the lowest structure with this stoichiometry is 0.878 eV/f.u. The value obtained for the uncorrected formation energy is 0.15 eV/f.u.



Rb4AgSe2 | PBE | relaxed

Geometry as CIF:
```
data_Rb4AgSe2
_chemical_formula_sum 'Rb12 Ag3 Se6'
_symmetry_space_group_name_H-M 'R -3 m'
_symmetry_Int_Tables_number 166
_symmetry_space_group_name_Hall '-R 3 2"'
_cell_length_a 5.9598
_cell_length_b 5.9598
_cell_length_c 29.6125
_cell_angle_alpha 90.00
_cell_angle_beta 90.00
_cell_angle_gamma 120.00
loop_
_atom_site_label
_atom_site_fract_x
_atom_site_fract_y
_atom_site_fract_z
_atom_site_occupancy
Rb1 0.0000 0.0000 0.1133 1
Rb2 0.0000 0.0000 0.2915 1
Ag1 0.0000 0.0000 0.5000 1
Se1 0.0000 0.0000 0.4123 1
```

The value obtained for the uncorrected formation energy is -5.06 eV/f.u.



TbHoMgRu | PBE | relaxed

Geometry as CIF:
```
data_TbHoMgRu
_chemical_formula_sum 'Tb1 Ho1 Mg1 Ru1'
_symmetry_space_group_name_H-M 'P 4 m m'
_symmetry_Int_Tables_number 99
_cell_length_a 3.441
_cell_length_b 3.441
_cell_length_c 8.102
_cell_angle_alpha 90.00
_cell_angle_beta 90.00
_cell_angle_gamma 90.00
loop_
_symmetry_equiv_pos_as_xyz
'x,y,z'
'-y,x,z'
'-x,-y,z'
'y,-x,z'
'-x,y,z'
'y,x,z'
'x,-y,z'
'-y,-x,z'
loop_
_atom_site_label
_atom_site_fract_x
_atom_site_fract_y
_atom_site_fract_z
_atom_site_occupancy
Tb1 0.000 0.000 0.000 1
Ho1 0.000 0.000 0.593 1
Mg1 0.500 0.500 0.299 1
Ru1 0.500 0.500 0.794 1
```

Its energy above the lowest structure with this stoichiometry is 0.000 eV/f.u. Its calculated formation energy is -289 meV per atom.



NaMn3Se | PBE | relaxed

Geometry as CIF:
```
data_NaMn3Se
_chemical_formula_sum 'Na1 Mn3 Se1'
_symmetry_space_group_name_H-M 'P m -3 m'
_symmetry_Int_Tables_number 221
_symmetry_space_group_name_Hall '-P 4 2 3'
_cell_length_a 4.397
_cell_length_b 4.397
_cell_length_c 4.397
_cell_angle_alpha 90.00
_cell_angle_beta 90.00
_cell_angle_gamma 90.00
loop_
_atom_site_label
_atom_site_fract_x
_atom_site_fract_y
_atom_site_fract_z
_atom_site_occupancy
Na1 0.000 0.000 0.000 1
Mn1 0.000 0.500 0.500 1
Se1 0.500 0.500 0.500 1
```

Its energy above the lowest structure with this stoichiometry is 0.000 eV/f.u. The value obtained for the uncorrected formation energy is 5.55 eV/f.u.



Sr8Ir2Cl | PBE | relaxed

Geometry as CIF:
```
data_Sr8Ir2Cl
_chemical_formula_sum 'Sr8 Ir2 Cl1'
_symmetry_space_group_name_H-M 'P -1'
_symmetry_Int_Tables_number 2
_cell_length_a 6.258
_cell_length_b 9.598
_cell_length_c 9.601
_cell_angle_alpha 60.09
_cell_angle_beta 90.00
_cell_angle_gamma 90.00
loop_
_symmetry_equiv_pos_as_xyz
'x,y,z'
'-x,-y,-z'
loop_
_atom_site_label
_atom_site_fract_x
_atom_site_fract_y
_atom_site_fract_z
_atom_site_occupancy
Sr1 0.242 0.333 0.333 1
Sr2 0.248 0.333 0.835 1
Sr3 0.248 0.832 0.333 1
Sr4 0.248 0.835 0.832 1
Ir1 0.265 0.667 0.667 1
Cl1 0.500 0.000 0.000 1
```

The value obtained for the uncorrected formation energy is -2.15 eV/f.u.



SmTmP | PBE | relaxed

Geometry as CIF:
```
data_SmTmP
_chemical_formula_sum 'Sm2 Tm2 P2'
_symmetry_space_group_name_H-M 'P m m n'
_symmetry_Int_Tables_number 59
_cell_length_a 3.905
_cell_length_b 5.482
_cell_length_c 7.821
_cell_angle_alpha 90.00
_cell_angle_beta 90.00
_cell_angle_gamma 90.00
loop_
_symmetry_equiv_pos_as_xyz
'x,y,z'
'-x,-y,-z'
'-x+1/2,-y+1/2,z'
'x+1/2,y+1/2,-z'
'x+1/2,-y,-z'
'-x+1/2,y,z'
'-x,y+1/2,-z'
'x,-y+1/2,z'
loop_
_atom_site_label
_atom_site_fract_x
_atom_site_fract_y
_atom_site_fract_z
_atom_site_occupancy
Sm1 0.250 0.250 0.122 1
Tm1 0.250 0.250 0.621 1
P1 0.250 0.750 0.621 1
```

Its calculated formation energy is -971 meV per atom.



LaInBiF2 | PBE | relaxed

Geometry as CIF:
```
data_LaInBiF2
_chemical_formula_sum 'La1 In1 Bi1 F2'
_symmetry_space_group_name_H-M 'P 4/m m m'
_symmetry_Int_Tables_number 123
_symmetry_space_group_name_Hall '-P 4 2'
_cell_length_a 4.622
_cell_length_b 4.622
_cell_length_c 6.879
_cell_angle_alpha 90.00
_cell_angle_beta 90.00
_cell_angle_gamma 90.00
loop_
_atom_site_label
_atom_site_fract_x
_atom_site_fract_y
_atom_site_fract_z
_atom_site_occupancy
La1 0.000 0.000 0.000 1
In1 0.500 0.500 0.500 1
Bi1 0.000 0.000 0.500 1
F1 0.000 0.500 0.000 1
```

The value obtained for the uncorrected formation energy is -10.93 eV/f.u.



TiMn2FeAu | PBE | relaxed

Geometry as CIF:
```
data_TiMn2FeAu
_chemical_formula_sum 'Ti1 Mn2 Fe1 Au1'
_symmetry_space_group_name_H-M 'P 4/m m m'
_symmetry_Int_Tables_number 123
_symmetry_space_group_name_Hall '-P 4 2'
_cell_length_a 4.207
_cell_length_b 4.207
_cell_length_c 4.821
_cell_angle_alpha 90.00
_cell_angle_beta 90.00
_cell_angle_gamma 90.00
loop_
_atom_site_label
_atom_site_fract_x
_atom_site_fract_y
_atom_site_fract_z
_atom_site_occupancy
Ti1 0.000 0.000 0.000 1
Mn1 0.000 0.500 0.500 1
Fe1 0.500 0.500 0.500 1
Au1 0.500 0.500 0.000 1
```

Its calculated formation energy is 807 meV per atom.



NaCdSn2F | PBE | relaxed

Geometry as CIF:
```
data_NaCdSn2F
_chemical_formula_sum 'Na1 Cd1 Sn2 F1'
_symmetry_space_group_name_H-M 'P 4/m m m'
_symmetry_Int_Tables_number 123
_symmetry_space_group_name_Hall '-P 4 2'
_cell_length_a 4.940
_cell_length_b 4.940
_cell_length_c 5.295
_cell_angle_alpha 90.00
_cell_angle_beta 90.00
_cell_angle_gamma 90.00
loop_
_atom_site_label
_atom_site_fract_x
_atom_site_fract_y
_atom_site_fract_z
_atom_site_occupancy
Na1 0.000 0.000 0.000 1
Cd1 0.500 0.500 0.000 1
Sn1 0.000 0.500 0.500 1
F1 0.500 0.500 0.500 1
```

The value obtained for the uncorrected formation energy is -2.16 eV/f.u.



Ta2P | PBE | relaxed

Geometry as CIF:
```
data_Ta2P
_chemical_formula_sum 'Ta8 P4'
_symmetry_space_group_name_H-M 'I -4 m 2'
_symmetry_Int_Tables_number 119
_symmetry_space_group_name_Hall 'I -4 -2'
_cell_length_a 3.370
_cell_length_b 3.370
_cell_length_c 17.871
_cell_angle_alpha 90.00
_cell_angle_beta 90.00
_cell_angle_gamma 90.00
loop_
_atom_site_label
_atom_site_fract_x
_atom_site_fract_y
_atom_site_fract_z
_atom_site_occupancy
Ta1 0.000 0.000 0.000 1
Ta2 0.000 0.000 0.405 1
Ta3 0.000 0.500 0.250 1
P1 0.000 0.000 0.148 1
```

Its calculated formation energy is -579 meV per atom.



Li3Ac2As4Pt | PBE | relaxed

Geometry as CIF:
```
data_Li3Ac2As4Pt
_chemical_formula_sum 'Li3 Ac2 As4 Pt1'
_symmetry_space_group_name_H-M 'P -4 m 2'
_symmetry_Int_Tables_number 115
_cell_length_a 4.422
_cell_length_b 4.422
_cell_length_c 10.389
_cell_angle_alpha 90.00
_cell_angle_beta 90.00
_cell_angle_gamma 90.00
loop_
_symmetry_equiv_pos_as_xyz
'x,y,z'
'y,-x,-z'
'-x,-y,z'
'-y,x,-z'
'-x,y,z'
'-y,-x,-z'
'x,-y,z'
'y,x,-z'
loop_
_atom_site_label
_atom_site_fract_x
_atom_site_fract_y
_atom_site_fract_z
_atom_site_occupancy
Li1 0.000 0.000 0.000 1
Li2 0.000 0.500 0.621 1
Ac1 0.000 0.500 0.244 1
As1 0.000 0.000 0.500 1
As2 0.000 0.500 0.862 1
As3 0.500 0.500 0.500 1
Pt1 0.500 0.500 0.000 1
```

Its calculated formation energy is -944 meV per atom.



CsNaSr2Br6 | PBE | relaxed

Geometry as CIF:
```
data_CsNaSr2Br6
_chemical_formula_sum 'Cs3 Na3 Sr6 Br18'
_symmetry_space_group_name_H-M 'R 3'
_symmetry_Int_Tables_number 146
_symmetry_space_group_name_Hall 'R 3'
_cell_length_a 8.0455
_cell_length_b 8.0455
_cell_length_c 21.2792
_cell_angle_alpha 90.00
_cell_angle_beta 90.00
_cell_angle_gamma 120.00
loop_
_atom_site_label
_atom_site_fract_x
_atom_site_fract_y
_atom_site_fract_z
_atom_site_occupancy
Cs1 0.0000 0.0000 0.0000 1
Na1 0.0000 0.0000 0.5339 1
Sr1 0.0000 0.0000 0.2205 1
Sr2 0.0000 0.0000 0.7343 1
Br1 0.0256 0.3421 0.8055 1
Br2 0.1093 0.7571 0.3014 1
```

The value obtained for the uncorrected formation energy is -19.30 eV/f.u.